{
  "formula": "Ca3Mg2MnO6",
  "functional": "GGA+U",
  "state": "optimized geometry",
  "total_energy_ev_per_cell": -77.50,
  "volume_a3_per_atom": 12.13,
  "rho_g_cm3": 3.6,
  "lattice_angstrom": [[5.6413, -0.0070, 0.0042], [-2.8253, 4.8828, 0.0042], [-0.9356, -1.6200, 5.2857]],
  "species": ["Ca", "Ca", "Ca", "Mg", "Mg", "Mn", "O", "O", "O", "O", "O", "O"],
  "frac_coords": [[0.1660, 0.8340, 0.5000], [0.8340, 0.1660, 0.5000], [0.5000, 0.5000, 0.5000], [0.3328, 0.6672, 0.0000], [0.6672, 0.3328, 0.0000], [0.0000, 0.0000, 0.0000], [0.9227, 0.5812, 0.7698], [0.7362, 0.7362, 0.2297], [0.0773, 0.4188, 0.2302], [0.5812, 0.9227, 0.7698], [0.2638, 0.2638, 0.7703], [0.4188, 0.0773, 0.2302]]
}